A plane-wave DFT calculation with GGA-PBE was carried out for ScTe2PbI after structural relaxation.

a b c (Å): 5.6810 5.6810 5.5287
angles (deg): 90.00 90.00 90.00
Element x y z (fractional)
Sc 0.0000 0.0000 0.0000
Te 0.0000 0.5000 0.0000
Te 0.5000 0.0000 0.0000
Pb 0.5000 0.5000 0.5000
I 0.0000 0.0000 0.5000

Total magnetization   0.00 Bohr magnetons per cell
DOS at the Fermi energy   0.286 states/eV per atom
Raw formation energy   -0.477 eV/atom

---

A plane-wave DFT calculation with GGA-PBE was carried out for PmPrSb2 after structural relaxation.

a b c (Å): 4.5272 6.3965 9.0490
angles (deg): 90.00 90.00 90.00
Element x y z (fractional)
Pm 0.2500 0.2500 0.1245
Pm 0.7500 0.7500 0.8755
Pr 0.2500 0.2500 0.6256
Pr 0.7500 0.7500 0.3744
Sb 0.2500 0.7500 0.1221
Sb 0.2500 0.7500 0.6279
Sb 0.7500 0.2500 0.3721
Sb 0.7500 0.2500 0.8779

Total magnetization   0.00 Bohr magnetons per cell
DOS at the Fermi energy   0.161 states/eV per atom
Raw formation energy   -1.190 eV/atom

---

A plane-wave DFT calculation with GGA-PBE was carried out for Cs4In2Sn5 after structural relaxation.

a b c (Å): 7.9658 6.5168 9.1891
angles (deg): 90.00 94.72 90.00
Element x y z (fractional)
Cs 0.2377 0.0000 0.1349
Cs 0.2435 0.0000 0.6400
Cs 0.7565 0.0000 0.3600
Cs 0.7623 0.0000 0.8651
In 0.4643 0.5000 0.3370
In 0.5357 0.5000 0.6630
Sn 0.0981 0.5000 0.3765
Sn 0.1204 0.5000 0.8896
Sn 0.5000 0.5000 0.0000
Sn 0.8796 0.5000 0.1104
Sn 0.9019 0.5000 0.6235

Total magnetization   0.00 Bohr magnetons per cell
DOS at the Fermi energy   0.299 states/eV per atom
ΔH_f (0 K)   -0.137 eV/atom

---

A plane-wave DFT calculation with GGA-PBE was carried out for Ba3ZrTl after structural relaxation.

a b c (Å): 6.5683 6.5683 6.5683
angles (deg): 90.00 90.00 90.00
Element x y z (fractional)
Ba 0.0000 0.0000 0.5000
Ba 0.0000 0.5000 0.0000
Ba 0.5000 0.0000 0.0000
Zr 0.5000 0.5000 0.5000
Tl 0.0000 0.0000 0.0000

Total magnetization   0.64 Bohr magnetons per cell
DOS at the Fermi energy   3.092 states/eV per atom
ΔH_f (0 K)   0.762 eV/atom

---

A plane-wave DFT calculation with GGA-PBE was carried out for Hf2FeRh after structural relaxation.

a b c (Å): 4.5372 4.5372 4.5372
angles (deg): 60.00 60.00 60.00
Element x y z (fractional)
Hf 0.2500 0.2500 0.2500
Hf 0.7500 0.7500 0.7500
Fe 0.0000 0.0000 0.0000
Rh 0.5000 0.5000 0.5000

Total magnetization   0.00 Bohr magnetons per cell
DOS at the Fermi energy   1.134 states/eV per atom
ΔH_f (0 K)   -0.571 eV/atom

---

A plane-wave DFT calculation with GGA-PBE was carried out for SmY6Ag after structural relaxation.

a b c (Å): 6.3260 6.3260 6.3260
angles (deg): 95.97 95.97 95.97
Element x y z (fractional)
Sm 0.0000 0.0000 0.0000
Y 0.0720 0.5473 0.2641
Y 0.2641 0.0720 0.5473
Y 0.4527 0.7359 0.9280
Y 0.5473 0.2641 0.0720
Y 0.7359 0.9280 0.4527
Y 0.9280 0.4527 0.7359
Ag 0.5000 0.5000 0.5000

Total magnetization   0.00 Bohr magnetons per cell
DOS at the Fermi energy   1.299 states/eV per atom
ΔH_f (0 K)   0.034 eV/atom

---

| no. | E (Ry/atom) |
| --- | --- |
| 1 | -0.298 |
| 2 | -0.414 |
| 3 | -0.203 |
| 4 | -0.189 |
| 5 | -0.698 |
| 6 | -0.423 |